No. 1
# NiAgBr2

NiAgBr2 after structural relaxation (PBE-GGA, Alexandria).

Results
Uncorrected formation energy, eV per atom: -0.077
Total moment, μB/atom: 0.247
Raw total energy, eV per atom: -3.072

Lattice parameters (Å, degrees): 5.3774 3.5703 6.2201 90.00 98.70 90.00
Closest atoms and distances in Å follow each position.
Space group P2/m (No. 10)
One atom of each set of equivalent atoms:
Ni 0.0000 0.0000 0.0000 [1 per cell]  4 Br 2.46, 2 Ag 2.69
Ag 0.5000 0.0000 0.0000 [1 per cell]  2 Ni 2.69, 4 Br 2.93
Br 0.2027 0.5000 0.2362 [2 per cell]  2 Ni 2.46

No. 2
# KZr2As

KZr2As after structural relaxation (PBE-GGA, Alexandria).

Results
D(E_F), states/eV/cell: 4.3
Total moment, μB/atom: 0.000
E_form, meV/atom: -19
Raw total energy, eV per atom: -5.729

Lattice parameters (Å, degrees): 3.3784 3.3784 9.9503 90.00 90.00 90.00
Closest atoms and distances in Å follow each position.
Space group P4/mmm (No. 123)
One atom of each set of equivalent atoms:
K 0.0000 0.0000 0.0000 [1 per cell]  4 K 3.38
Zr 0.5000 0.5000 0.3480 [2 per cell]  4 As 2.83, 1 Zr 3.02
As 0.0000 0.0000 0.5000 [1 per cell]  8 Zr 2.83

No. 3
# Sr2Ge3Au6

Sr2Ge3Au6 after structural relaxation (PBE-GGA, Alexandria).

Results
D(E_F), states/eV/cell: 3.8
Total moment, μB/atom: 0.000
E_form, meV/atom: -456
Raw total energy, eV per atom: -3.809

Lattice parameters (Å, degrees): 7.8942 7.8942 4.6154 90.00 90.00 120.00
Closest atoms and distances in Å follow each position.
Space group P-62m (No. 189)
One atom of each set of equivalent atoms:
Sr 0.3333 0.6667 0.0000 [2 per cell]  9 Au 3.23-3.53, 6 Ge 3.45
Ge 0.0000 0.3502 0.5000 [3 per cell]  5 Au 2.56-2.67
Au 0.0000 0.2099 0.0000 [3 per cell]  2 Ge 2.56
Au 0.0000 0.6765 0.5000 [3 per cell]  3 Ge 2.58-2.67

No. 4
# NaAuBr2

NaAuBr2 after structural relaxation (PBE-GGA, Alexandria).

Results
D(E_F), states/eV/cell: 0.0
Uncorrected formation energy, eV per atom: -0.801
Total moment, μB/atom: 0.000
Raw total energy, eV per atom: -2.787

Lattice parameters (Å, degrees): 7.1822 4.6895 7.6975 90.00 98.52 90.00
Closest atoms and distances in Å follow each position.
Space group Pc (No. 7)
One atom of each set of equivalent atoms:
Na 0.0000 0.1915 0.0000 [2 per cell]  6 Br 2.95-3.20
Au 0.5000 0.0000 0.2495 [2 per cell]  2 Br 2.44
Br 0.2097 0.2777 0.7024 [2 per cell]  1 Au 2.44
Br 0.7902 0.2775 0.2970 [2 per cell]  1 Au 2.44

No. 5
# PdSeCl2

PdSeCl2 after structural relaxation (PBE-GGA, Alexandria).

Results
D(E_F), states/eV/cell: 6.1
Uncorrected formation energy, eV per atom: 0.296
Total moment, μB/atom: 0.000
Raw total energy, eV per atom: -2.797

Lattice parameters (Å, degrees): 3.2525 3.2525 26.9113 90.00 90.00 120.00
Closest atoms and distances in Å follow each position.
Space group R-3m (No. 166, hexagonal axes)
One atom of each set of equivalent atoms:
Pd 0.0000 0.0000 0.0000 [3 per cell]  2 Cl 2.27
Se 0.0000 0.0000 0.5000 [3 per cell]  6 Cl 2.91, 6 Se 3.25
Cl 0.0000 0.0000 0.0843 [6 per cell]  1 Pd 2.27

No. 6
# FeSeCl2

FeSeCl2 after structural relaxation (PBE-GGA, Alexandria).

Results
D(E_F), states/eV/cell: 8.8
Uncorrected formation energy, eV per atom: 0.583
Total moment, μB/atom: 0.771
Raw total energy, eV per atom: -3.327

Lattice parameters (Å, degrees): 4.4171 4.4171 7.9317 90.00 90.00 90.00
Closest atoms and distances in Å follow each position.
Space group I4/mmm (No. 139)
One atom of each set of equivalent atoms:
Fe 0.0000 0.0000 0.0000 [2 per cell]  8 Cl 2.97, 4 Se 3.12
Se 0.0000 0.0000 0.5000 [2 per cell]  8 Cl 2.97, 4 Fe 3.12
Cl 0.0000 0.5000 0.2500 [4 per cell]  4 Se 2.97, 4 Fe 2.97, 4 Cl 3.12